# CaCr2Br, relaxed, DFT PBE
# SG: No. 99
# Formation energy from raw total energies (eV per atom): 0.013
# Excess energy over the best structure of this formula in the dataset (meV/atom): 6
# Theoretical density (Mg/m³): 3.7
data_CaCr2Br
_cell_length_a 3.4809
_cell_length_b 3.4809
_cell_length_c 8.4010
_cell_angle_alpha 90.00
_cell_angle_beta 90.00
_cell_angle_gamma 90.00
_symmetry_space_group_name_H-M 'P 1'
_symmetry_Int_Tables_number 1
loop_
_symmetry_equiv_pos_as_xyz
'x,y,z'
loop_
_atom_site_label
_atom_site_type_symbol
_atom_site_fract_x
_atom_site_fract_y
_atom_site_fract_z
_atom_site_occupancy
Cr1 Cr 0.0000 0.0000 0.0393 1
Cr2 Cr 0.5000 0.5000 0.1295 1
Ca1 Ca 0.5000 0.5000 0.7623 1
Br1 Br 0.0000 0.0000 0.5688 1

# CaCrBr, relaxed, DFT PBE
# SG: No. 216
# Formation energy from raw total energies (eV per atom): 0.190
# Excess energy over the best structure of this formula in the dataset (meV/atom): 319
# Theoretical density (Mg/m³): 2.8
data_CaCrBr
_cell_length_a 5.2141
_cell_length_b 5.2141
_cell_length_c 5.2141
_cell_angle_alpha 60.00
_cell_angle_beta 60.00
_cell_angle_gamma 60.00
_symmetry_space_group_name_H-M 'P 1'
_symmetry_Int_Tables_number 1
loop_
_symmetry_equiv_pos_as_xyz
'x,y,z'
loop_
_atom_site_label
_atom_site_type_symbol
_atom_site_fract_x
_atom_site_fract_y
_atom_site_fract_z
_atom_site_occupancy
Cr1 Cr 0.0000 0.0000 0.0000 1
Ca1 Ca 0.2500 0.2500 0.2500 1
Br1 Br 0.5000 0.5000 0.5000 1

# CaCrBr2, relaxed, DFT PBE
# SG: No. 166
# Formation energy from raw total energies (eV per atom): -0.644
# Excess energy over the best structure of this formula in the dataset (meV/atom): 1
# Theoretical density (Mg/m³): 3.1
data_CaCrBr2
_cell_length_a 10.0259
_cell_length_b 10.0259
_cell_length_c 10.0259
_cell_angle_alpha 23.09
_cell_angle_beta 23.09
_cell_angle_gamma 23.09
_symmetry_space_group_name_H-M 'P 1'
_symmetry_Int_Tables_number 1
loop_
_symmetry_equiv_pos_as_xyz
'x,y,z'
loop_
_atom_site_label
_atom_site_type_symbol
_atom_site_fract_x
_atom_site_fract_y
_atom_site_fract_z
_atom_site_occupancy
Cr1 Cr 0.0000 0.0000 0.0000 1
Ca1 Ca 0.5000 0.5000 0.5000 1
Br1 Br 0.8919 0.8919 0.8919 1
Br2 Br 0.1081 0.1081 0.1081 1

# CaCrBr2, relaxed, DFT PBE
# SG: No. 6
# Formation energy from raw total energies (eV per atom): -0.644
# Excess energy over the best structure of this formula in the dataset (meV/atom): 0
# Theoretical density (Mg/m³): 3.4
data_CaCrBr2
_cell_length_a 4.1821
_cell_length_b 5.7600
_cell_length_c 5.7975
_cell_angle_alpha 61.37
_cell_angle_beta 90.00
_cell_angle_gamma 90.00
_symmetry_space_group_name_H-M 'P 1'
_symmetry_Int_Tables_number 1
loop_
_symmetry_equiv_pos_as_xyz
'x,y,z'
loop_
_atom_site_label
_atom_site_type_symbol
_atom_site_fract_x
_atom_site_fract_y
_atom_site_fract_z
_atom_site_occupancy
Cr1 Cr 0.5000 0.7565 0.7687 1
Ca1 Ca 0.0000 0.4997 0.4936 1
Br1 Br 0.0000 0.9503 0.9462 1
Br2 Br 0.5000 0.2936 0.2915 1